# Pu3Ge4Rh4 (PBE-GGA, optimized geometry)
data_Pu3Ge4Rh4
_chemical_formula_sum 'Pu6 Ge8 Rh8'
_space_group_name_H-M_alt 'I m m m'
_space_group_IT_number 71
_space_group_name_Hall '-I 2 2'
_cell_length_a 4.1595
_cell_length_b 6.9900
_cell_length_c 13.9127
_cell_angle_alpha 90.00
_cell_angle_beta 90.00
_cell_angle_gamma 90.00
loop_
_atom_site_label
_atom_site_type_symbol
_atom_site_fract_x
_atom_site_fract_y
_atom_site_fract_z
_atom_site_occupancy
Pu1 Pu 0.0000 0.0000 0.0000 1
Pu2 Pu 0.0000 0.5000 0.1264 1
Ge1 Ge 0.0000 0.0000 0.2123 1
Ge2 Ge 0.0000 0.1965 0.5000 1
Rh1 Rh 0.0000 0.2952 0.3239 1
# * density of states at the Fermi level: 60.0 states/eV per cell
# * E_form: -0.660 eV/atom
# * VASP energy: -8.921 eV per atom